Record 1
A relaxed structure of Ca2PmTlHg4. Source: the Alexandria database, functional PBE-GGA.

The structure belongs to space group R-3m (No. 166, hexagonal axes); the cell edges are 5.3112, 5.3112 and 26.7264 Å and the angles 90.00°, 90.00° and 120.00°. Symmetry generates all atoms from Ca at (0.0000, 0.0000, 0.2423), Pm at (0.0000, 0.0000, 0.0000), Tl at (0.0000, 0.0000, 0.5000), Hg at (0.0000, 0.0000, 0.1200) and Hg at (0.0000, 0.0000, 0.3674).

Record 2
A relaxed structure of CaPm2TmHg4. Source: the Alexandria database, functional PBE-GGA.

The structure belongs to space group R-3m (No. 166, hexagonal axes); the cell edges are 5.3296, 5.3296 and 26.1043 Å and the angles 90.00°, 90.00° and 120.00°. Symmetry generates all atoms from Ca at (0.0000, 0.0000, 0.0000), Pm at (0.0000, 0.0000, 0.2511), Tm at (0.0000, 0.0000, 0.5000), Hg at (0.0000, 0.0000, 0.1269) and Hg at (0.0000, 0.0000, 0.3771).

Record 3
A relaxed structure of CaPmTm2Hg4. Source: the Alexandria database, functional PBE-GGA.

The structure belongs to space group R-3m (No. 166, hexagonal axes); the cell edges are 5.2693, 5.2693 and 25.9159 Å and the angles 90.00°, 90.00° and 120.00°. Symmetry generates all atoms from Ca at (0.0000, 0.0000, 0.0000), Pm at (0.0000, 0.0000, 0.5000), Tm at (0.0000, 0.0000, 0.2518), Hg at (0.0000, 0.0000, 0.1244) and Hg at (0.0000, 0.0000, 0.3749).

Let's list calculated formation energy in order: -0.446, -0.512, -0.492 eV/atom.
Let's list energy in order: -47.687, -63.832, -62.508 eV for the cell shown.